Record 1
Below is a relaxed TcW2Au crystal, with properties calculated at the GGA-PBE level.

Cell lengths 4.2338, 2.7299, 5.9858 Å; angles 69.35, 90.00, 90.00 degrees
Fractional coordinates of all 4 atoms:
Au (0.0000, 0.5021, 0.5015)
Tc (0.5000, 0.8145, 0.7639)
W (0.0000, 0.9938, 0.9914)
W (0.5000, 0.1896, 0.2432)

Calculated values
SG ... No. 6
Energy relative to the elements ... 0.309 eV/atom

---

Record 2
Below is a relaxed ScAl7Fe5 crystal, with properties calculated at the GGA-PBE level.

Cell lengths 4.9899, 6.5403, 6.5403 Å; angles 81.71, 67.58, 67.58 degrees
Fractional coordinates of all 13 atoms:
Sc (0.0037, 0.9963, 0.9963)
Al (0.6630, 0.3370, 0.3370)
Al (0.3334, 0.6666, 0.6666)
Al (0.9923, 0.3460, 0.6694)
Al (0.9923, 0.6694, 0.3460)
Al (0.2738, 0.2262, 0.2262)
Al (0.5053, 0.7912, 0.1982)
Al (0.5053, 0.1982, 0.7912)
Fe (0.4964, 0.0022, 0.5000)
Fe (0.0013, 0.0022, 0.5000)
Fe (0.4964, 0.5000, 0.0022)
Fe (0.0013, 0.5000, 0.0022)
Fe (0.7353, 0.7647, 0.7647)

Calculated values
SG ... No. 44
Energy relative to the elements ... -0.395 eV/atom

---

Record 3
Below is a relaxed CaTmAgF6 crystal, with properties calculated at the GGA-PBE level.

Cell lengths 5.3249, 5.3249, 10.7742 Å; angles 90.00, 90.00, 90.00 degrees
Fractional coordinates of all 18 atoms:
Ca (0.5000, 0.5000, 0.1682)
Ca (0.0000, 0.0000, 0.6682)
Tm (0.5000, 0.5000, 0.8325)
Tm (0.0000, 0.0000, 0.3325)
Ag (0.5000, 0.5000, 0.4989)
Ag (0.0000, 0.0000, 0.9989)
F (0.1776, 0.8224, 0.4918)
F (0.8224, 0.1776, 0.4918)
F (0.3224, 0.3224, 0.9918)
F (0.6776, 0.6776, 0.9918)
F (0.2012, 0.7988, 0.1910)
F (0.7988, 0.2012, 0.1910)
F (0.2988, 0.2988, 0.6910)
F (0.7012, 0.7012, 0.6910)
F (0.7849, 0.2151, 0.8174)
F (0.2151, 0.7849, 0.8174)
F (0.7151, 0.7151, 0.3174)
F (0.2849, 0.2849, 0.3174)

Calculated values
SG ... No. 102
E_form (uncorrected) ... -3.36 eV per atom

---

Record 4
Below is a relaxed Cs3AgF crystal, with properties calculated at the GGA-PBE level.

Cell lengths 5.4288, 10.2140, 10.2123 Å; angles 72.47, 89.03, 89.00 degrees
Fractional coordinates of all 10 atoms:
Cs (0.5278, 0.3500, 0.7887)
Cs (0.9574, 0.5544, 0.9934)
Cs (0.5342, 0.2675, 0.3205)
Cs (0.5339, 0.8812, 0.7068)
Cs (0.9506, 0.0232, 0.0753)
Cs (0.9502, 0.6372, 0.4618)
Ag (0.0179, 0.1869, 0.6266)
Ag (0.4668, 0.7172, 0.1558)
F (0.7422, 0.6168, 0.7264)
F (0.7423, 0.2875, 0.0559)

Calculated values
SG ... No. 2
E_form (uncorrected) ... -0.98 eV per atom

---

Record 5
Below is a relaxed ReSiPt2 crystal, with properties calculated at the GGA-PBE level.

Cell lengths 4.8816, 4.8816, 4.8816 Å; angles 134.21, 134.21, 66.75 degrees
Fractional coordinates of all 4 atoms:
Pt (0.0000, 0.0000, 0.0000)
Pt (0.5000, 0.5000, 0.0000)
Re (0.2500, 0.7500, 0.5000)
Si (0.7500, 0.2500, 0.5000)

Calculated values
SG ... No. 139
E_form (uncorrected) ... 0.00 eV per atom

---

Record 6
Below is a relaxed Be2H crystal, with properties calculated at the GGA-PBE level.

Cell lengths 5.5307, 2.2939, 8.2065 Å; angles 90.00, 115.79, 90.00 degrees
Fractional coordinates of all 12 atoms:
Be (0.2271, 0.0000, 0.6436)
Be (0.2271, 0.5000, 0.1436)
Be (0.3366, 0.0000, 0.9351)
Be (0.3366, 0.5000, 0.4351)
Be (0.5821, 0.0000, 0.3355)
Be (0.5821, 0.5000, 0.8355)
Be (0.9432, 0.0000, 0.9090)
Be (0.9432, 0.5000, 0.4090)
H (0.0655, 0.0000, 0.7715)
H (0.0655, 0.5000, 0.2715)
H (0.5332, 0.0000, 0.5083)
H (0.5332, 0.5000, 0.0083)

Calculated values
E_tot ... -3.422 eV/atom
SG ... No. 8

---

Record 7
Below is a relaxed KPr2TmTe4 crystal, with properties calculated at the GGA-PBE level.

Cell lengths 4.4686, 7.9131, 7.9068 Å; angles 71.66, 90.00, 90.00 degrees
Fractional coordinates of all 8 atoms:
K (0.0000, 0.5000, 0.5000)
Pr (0.0000, 0.0000, 0.0000)
Pr (0.5000, 0.0000, 0.5000)
Tm (0.5000, 0.5000, 0.0000)
Te (0.0000, 0.7390, 0.7657)
Te (0.0000, 0.2610, 0.2343)
Te (0.5000, 0.7516, 0.2347)
Te (0.5000, 0.2484, 0.7653)

Calculated values
SG ... No. 10
E_form (uncorrected) ... -1.33 eV per atom

---

Record 8
Below is a relaxed GaCoRe3 crystal, with properties calculated at the GGA-PBE level.

Cell lengths 4.4577, 4.4577, 4.4577 Å; angles 90.00, 90.00, 90.00 degrees
Fractional coordinates of all 5 atoms:
Re (0.0000, 0.5000, 0.0000)
Re (0.0000, 0.0000, 0.5000)
Re (0.5000, 0.0000, 0.0000)
Co (0.5000, 0.5000, 0.5000)
Ga (0.0000, 0.0000, 0.0000)

Calculated values
SG ... No. 221
Energy relative to the elements ... 2.246 eV/atom

---

Record 9
Below is a relaxed NiSbRhN2 crystal, with properties calculated at the GGA-PBE level.

Cell lengths 3.9857, 5.1022, 3.9857 Å; angles 90.00, 90.00, 90.00 degrees
Fractional coordinates of all 5 atoms:
Sb (0.0000, 0.0000, 0.0000)
N (0.0000, 0.0000, 0.5000)
N (0.5000, 0.0000, 0.0000)
Rh (0.0000, 0.5000, 0.0000)
Ni (0.5000, 0.5000, 0.5000)

Calculated values
SG ... No. 123
E_form (uncorrected) ... 1.81 eV per atom

---

Record 10
Below is a relaxed ZrZn2Fe crystal, with properties calculated at the GGA-PBE level.

Cell lengths 9.4369, 9.4369, 9.4369 Å; angles 17.27, 17.27, 17.27 degrees
Fractional coordinates of all 4 atoms:
Fe (0.7500, 0.7500, 0.7500)
Zn (0.0093, 0.0093, 0.0093)
Zn (0.4907, 0.4907, 0.4907)
Zr (0.2500, 0.2500, 0.2500)

Calculated values
SG ... No. 166
Energy relative to the elements ... 0.122 eV/atom

---

Record 11
Below is a relaxed BeReF crystal, with properties calculated at the GGA-PBE level.

Cell lengths 2.9277, 2.5730, 9.9859 Å; angles 90.00, 90.00, 90.00 degrees
Fractional coordinates of all 6 atoms:
Re (0.0000, 0.5000, 0.9122)
Re (0.0000, 0.5000, 0.1990)
Be (0.5000, 0.0000, 0.0606)
Be (0.5000, 0.0000, 0.7258)
F (0.0000, 0.0000, 0.3619)
F (0.5000, 0.5000, 0.6327)

Calculated values
SG ... No. 25
E_form (uncorrected) ... -0.91 eV per atom

---

Record 12
Below is a relaxed CaAg2Os crystal, with properties calculated at the GGA-PBE level.

Cell lengths 2.7552, 4.5511, 5.9105 Å; angles 90.00, 90.00, 90.00 degrees
Fractional coordinates of all 4 atoms:
Ca (0.5000, 0.5000, 0.2500)
Os (0.5000, 0.5000, 0.7500)
Ag (0.0000, 0.0000, 0.9790)
Ag (0.0000, 0.0000, 0.5210)

Calculated values
SG ... No. 47
Energy relative to the elements ... 0.471 eV/atom

---

Record 13
Below is a relaxed TbB2Pd8 crystal, with properties calculated at the GGA-PBE level.

Cell lengths 4.2318, 6.4894, 6.4894 Å; angles 110.23, 97.19, 97.19 degrees
Fractional coordinates of all 11 atoms:
Tb (0.5000, 0.0000, 0.0000)
B (0.0000, 0.3287, 0.6713)
B (0.0000, 0.6713, 0.3287)
Pd (0.9171, 0.9420, 0.6688)
Pd (0.9171, 0.6688, 0.9420)
Pd (0.2905, 0.6077, 0.6077)
Pd (0.5000, 0.7352, 0.2648)
Pd (0.5000, 0.2648, 0.7352)
Pd (0.7095, 0.3923, 0.3923)
Pd (0.0829, 0.3312, 0.0580)
Pd (0.0829, 0.0580, 0.3312)

Calculated values
SG ... No. 12
Energy relative to the elements ... -0.354 eV/atom

---

Record 14
Below is a relaxed RePbIN2 crystal, with properties calculated at the GGA-PBE level.

Cell lengths 4.2915, 4.2915, 6.8478 Å; angles 90.00, 90.00, 90.00 degrees
Fractional coordinates of all 5 atoms:
Pb (0.0000, 0.0000, 0.0000)
Re (0.5000, 0.5000, 0.5000)
I (0.0000, 0.0000, 0.5000)
N (0.0000, 0.5000, 0.0000)
N (0.5000, 0.0000, 0.0000)

Calculated values
SG ... No. 123
E_form (uncorrected) ... 2.53 eV per atom

---

Record 15
Below is a relaxed Nb3PdRu crystal, with properties calculated at the GGA-PBE level.

Cell lengths 4.7713, 4.7713, 4.7713 Å; angles 90.00, 90.00, 90.00 degrees
Fractional coordinates of all 5 atoms:
Ru (0.5000, 0.5000, 0.5000)
Nb (0.0000, 0.5000, 0.0000)
Nb (0.0000, 0.0000, 0.5000)
Nb (0.5000, 0.0000, 0.0000)
Pd (0.0000, 0.0000, 0.0000)

Calculated values
SG ... No. 221
Energy relative to the elements ... 1.568 eV/atom

---

Record 16
Below is a relaxed Ce3In2Sn crystal, with properties calculated at the GGA-PBE level.

Cell lengths 4.1683, 4.1683, 9.6423 Å; angles 90.00, 90.00, 90.00 degrees
Fractional coordinates of all 6 atoms:
Ce (0.0000, 0.0000, 0.0000)
Ce (0.0000, 0.0000, 0.6562)
Ce (0.0000, 0.0000, 0.3438)
In (0.5000, 0.5000, 0.8313)
In (0.5000, 0.5000, 0.1687)
Sn (0.5000, 0.5000, 0.5000)

Calculated values
SG ... No. 123
Energy relative to the elements ... -0.429 eV/atom

---

Record 17
Below is a relaxed PaTiVNi crystal, with properties calculated at the GGA-PBE level.

Cell lengths 4.5477, 4.5477, 4.5477 Å; angles 60.00, 60.00, 60.00 degrees
Fractional coordinates of all 4 atoms:
Ni (0.5000, 0.5000, 0.5000)
Pa (0.2500, 0.2500, 0.2500)
Ti (0.7500, 0.7500, 0.7500)
V (0.0000, 0.0000, 0.0000)

Calculated values
SG ... No. 216
Energy relative to the elements ... -0.054 eV/atom

---

Record 18
Below is a relaxed CsPm2AuSe4 crystal, with properties calculated at the GGA-PBE level.

Cell lengths 4.3139, 7.7975, 14.9984 Å; angles 90.00, 90.00, 106.06 degrees
Fractional coordinates of all 16 atoms:
Cs (0.1185, 0.2370, 0.7500)
Cs (0.8815, 0.7630, 0.2500)
Pm (0.3692, 0.7385, 0.5669)
Pm (0.6308, 0.2615, 0.0669)
Pm (0.6308, 0.2615, 0.4331)
Pm (0.3692, 0.7385, 0.9331)
Au (0.8416, 0.6832, 0.7500)
Au (0.1584, 0.3168, 0.2500)
Se (0.2578, 0.5156, 0.1021)
Se (0.7422, 0.4844, 0.6021)
Se (0.7422, 0.4844, 0.8979)
Se (0.2578, 0.5156, 0.3979)
Se (0.0000, 0.0000, 0.5000)
Se (0.0000, 0.0000, 0.0000)
Se (0.4402, 0.8803, 0.7500)
Se (0.5598, 0.1197, 0.2500)

Calculated values
SG ... No. 63
E_form (uncorrected) ... -1.45 eV per atom

---

Record 19
Below is a relaxed PuBeCuH6 crystal, with properties calculated at the GGA-PBE level.

Cell lengths 4.2172, 4.2172, 4.2460 Å; angles 90.00, 90.00, 60.00 degrees
Fractional coordinates of all 9 atoms:
Pu (0.0000, 0.0000, 0.0000)
Be (0.3333, 0.3333, 0.5000)
Cu (0.6666, 0.6667, 0.5000)
H (0.0157, 0.4921, 0.2226)
H (0.4921, 0.0158, 0.7773)
H (0.4921, 0.4921, 0.7773)
H (0.0157, 0.4921, 0.7773)
H (0.4921, 0.4921, 0.2226)
H (0.4921, 0.0158, 0.2226)

Calculated values
E_tot ... -4.777 eV/atom
SG ... No. 187

---

Record 20
Below is a relaxed HoUSe4 crystal, with properties calculated at the GGA-PBE level.

Cell lengths 4.1460, 7.0598, 13.8389 Å; angles 98.48, 90.00, 90.00 degrees
Fractional coordinates of all 12 atoms:
Ho (0.5000, 0.0000, 0.5000)
Ho (0.0000, 0.0000, 0.0000)
U (0.0000, 0.5000, 0.5000)
U (0.5000, 0.5000, 0.0000)
Se (0.5000, 0.6232, 0.3891)
Se (0.0000, 0.3768, 0.1109)
Se (0.5000, 0.3768, 0.6109)
Se (0.0000, 0.6232, 0.8891)
Se (0.9998, 0.1469, 0.3895)
Se (0.4998, 0.8531, 0.1105)
Se (0.0002, 0.8531, 0.6105)
Se (0.5002, 0.1469, 0.8895)

Calculated values
SG ... No. 12
E_form (uncorrected) ... -1.37 eV per atom

---

Record 21
Below is a relaxed Ce2ErPaAs4 crystal, with properties calculated at the GGA-PBE level.

Cell lengths 4.1538, 7.1708, 7.2146 Å; angles 109.44, 90.00, 90.00 degrees
Fractional coordinates of all 8 atoms:
Ce (0.5000, 0.0000, 0.5000)
Ce (0.0000, 0.5000, 0.5000)
Er (0.5000, 0.5000, 0.0000)
Pa (0.0000, 0.0000, 0.0000)
As (0.5000, 0.2467, 0.2400)
As (0.5000, 0.7533, 0.7600)
As (0.0000, 0.2516, 0.7595)
As (0.0000, 0.7484, 0.2405)

Calculated values
SG ... No. 10
Energy relative to the elements ... -1.354 eV/atom

---

Record 22
Below is a relaxed Y3Ho5Sc crystal, with properties calculated at the GGA-PBE level.

Cell lengths 8.4871, 8.4871, 9.8235 Å; angles 115.59, 115.59, 90.00 degrees
Fractional coordinates of all 18 atoms:
Y (0.6199, 0.1199, 0.0000)
Y (0.3801, 0.8801, 0.0000)
Y (0.8801, 0.6199, 0.0000)
Y (0.1199, 0.3801, 0.0000)
Y (0.2500, 0.2500, 0.5000)
Y (0.7500, 0.7500, 0.5000)
Ho (0.0647, 0.5647, 0.7156)
Ho (0.6510, 0.1510, 0.7156)
Ho (0.1510, 0.0647, 0.7156)
Ho (0.5647, 0.6510, 0.7156)
Ho (0.9353, 0.4353, 0.2844)
Ho (0.3490, 0.8490, 0.2844)
Ho (0.8490, 0.9353, 0.2844)
Ho (0.4353, 0.3490, 0.2844)
Ho (0.5000, 0.5000, 0.0000)
Ho (0.0000, 0.0000, 0.0000)
Sc (0.7500, 0.2500, 0.5000)
Sc (0.2500, 0.7500, 0.5000)

Calculated values
SG ... No. 140
Energy relative to the elements ... 0.314 eV/atom

---

Record 23
Below is a relaxed Ta2Ti7Zn2 crystal, with properties calculated at the GGA-PBE level.

Cell lengths 7.3071, 5.1995, 5.1995 Å; angles 93.82, 79.25, 79.25 degrees
Fractional coordinates of all 11 atoms:
Ta (0.8429, 0.3943, 0.3943)
Ta (0.1571, 0.6057, 0.6057)
Ti (0.1981, 0.0831, 0.4522)
Ti (0.8019, 0.5478, 0.9169)
Ti (0.8019, 0.9169, 0.5478)
Ti (0.1981, 0.4522, 0.0831)
Ti (0.0000, 0.0000, 0.0000)
Ti (0.4155, 0.8512, 0.8512)
Ti (0.5845, 0.1488, 0.1488)
Zn (0.5000, 0.3194, 0.6806)
Zn (0.5000, 0.6806, 0.3194)

Calculated values
SG ... No. 12
Energy relative to the elements ... 0.006 eV/atom